1.
A plane-wave DFT calculation with PBE was carried out for an optimized crystal structure of PrYSbO2.

Values from the calculation:
The formation energy from raw total energies comes out at -2.61 eV/atom. For the total magnetization, the calculation gives 0.00 μB per cell. The total energy comes out at -7.67 eV per atom.

a b c (Å): 3.9489 3.9489 13.6814
angles (deg): 90.00 90.00 90.00
Space group I4mm (No. 107)
Unique sites:
Pr 0.0000 0.0000 0.0000 (multiplicity 2)
Y 0.0000 0.0000 0.3289 (multiplicity 2)
Sb 0.0000 0.0000 0.6665 (multiplicity 2)
O 0.0000 0.5000 0.4075 (multiplicity 4)

2.
A plane-wave DFT calculation with PBE was carried out for an optimized crystal structure of ZnMo2Au.

Values from the calculation:
For the total magnetization, the calculation gives 0.00 μB per cell. The value obtained for the energy of formation is 0.42 eV per atom. The total energy comes out at -6.14 eV per atom.

a b c (Å): 4.8755 4.8755 2.7123
angles (deg): 90.00 90.00 90.00
Space group P4/mmm (No. 123)
Unique sites:
Zn 0.0000 0.0000 0.0000 (multiplicity 1)
Mo 0.0000 0.5000 0.5000 (multiplicity 2)
Au 0.5000 0.5000 0.0000 (multiplicity 1)